Crystalline TmLuAlGa at its relaxed geometry. Source: the Alexandria database, functional GGA-PBE.

For the density of states at the Fermi level, the calculation gives 4.8 states/eV/cell. The magnetization is 0.00 μB/f.u. The formation energy comes out at -462 meV/atom.

The structure belongs to space group F-43m (No. 216); the cell edges are 7.065, 7.065 and 7.065 Å and the angles 90.00°, 90.00° and 90.00°. The inequivalent atoms are Tm at (0.000, 0.000, 0.000), Lu at (0.000, 0.000, 0.500), Al at (0.250, 0.250, 0.250) and Ga at (0.250, 0.250, 0.750).

Crystalline YLuAlGa at its relaxed geometry. Source: the Alexandria database, functional GGA-PBE.

For the density of states at the Fermi level, the calculation gives 5.1 states/eV/cell. The magnetization is 0.00 μB/f.u. The formation energy comes out at -475 meV/atom.

The structure belongs to space group F-43m (No. 216); the cell edges are 7.123, 7.123 and 7.123 Å and the angles 90.00°, 90.00° and 90.00°. The inequivalent atoms are Y at (0.000, 0.000, 0.000), Lu at (0.000, 0.000, 0.500), Al at (0.250, 0.250, 0.250) and Ga at (0.250, 0.250, 0.750).

Crystalline LuAlZnGa at its relaxed geometry. Source: the Alexandria database, functional GGA-PBE.

For the density of states at the Fermi level, the calculation gives 7.7 states/eV/cell. The magnetization is 0.00 μB/f.u. The formation energy comes out at -222 meV/atom.

The structure belongs to space group F-43m (No. 216); the cell edges are 6.661, 6.661 and 6.661 Å and the angles 90.00°, 90.00° and 90.00°. The inequivalent atoms are Lu at (0.000, 0.000, 0.000), Al at (0.000, 0.000, 0.500), Zn at (0.250, 0.250, 0.750) and Ga at (0.250, 0.250, 0.250).